(1)
Density functional theory data (PBE) for a geometry-optimized KTb4Ga3O12 structure.

abc: 7.155 7.155 7.155
angles: 109.47 109.47 109.47
Each line ends with the local moment (μB).
Sites, in units of the cell vectors:
K (0.000, 0.000, 0.000)  0.00
Tb (0.500, 0.000, 0.000)  -0.01
Tb (0.500, 0.500, 0.500)  -0.01
Tb (0.000, 0.500, 0.000)  -0.01
Tb (0.000, 0.000, 0.500)  -0.01
Ga (0.000, 0.500, 0.500)  -0.01
Ga (0.500, 0.500, 0.000)  -0.01
Ga (0.500, 0.000, 0.500)  -0.01
O (0.331, 0.842, 0.173)  0.15
O (0.669, 0.158, 0.827)  0.15
O (0.669, 0.842, 0.510)  0.15
O (0.827, 0.669, 0.158)  0.15
O (0.842, 0.173, 0.331)  0.15
O (0.158, 0.490, 0.331)  0.15
O (0.490, 0.331, 0.158)  0.15
O (0.158, 0.827, 0.669)  0.15
O (0.331, 0.158, 0.490)  0.15
O (0.173, 0.331, 0.842)  0.15
O (0.842, 0.510, 0.669)  0.15
O (0.510, 0.669, 0.842)  0.15

## Properties
Calculated density in g cm⁻³: 6.34
Formation energy (no corrections) in meV per atom: -2387

***

(2)
Density functional theory data (PBE) for a geometry-optimized Sm4Y19Er6 structure.

abc: 10.825 10.824 10.825
angles: 109.47 109.47 109.47
Sites, in units of the cell vectors:
Sm (0.000, 0.000, 0.641)
Sm (0.000, 0.641, 0.000)
Sm (0.359, 0.359, 0.359)
Sm (0.641, 0.000, 0.000)
Y (0.737, 0.000, 0.737)
Y (0.263, 0.000, 0.263)
Y (0.263, 0.263, 0.000)
Y (0.737, 0.737, 0.000)
Y (0.000, 0.737, 0.737)
Y (0.000, 0.263, 0.263)
Y (0.000, 0.000, 0.000)
Y (0.206, 0.217, 0.546)
Y (0.794, 0.340, 0.011)
Y (0.671, 0.660, 0.454)
Y (0.011, 0.794, 0.340)
Y (0.329, 0.783, 0.989)
Y (0.546, 0.206, 0.217)
Y (0.989, 0.329, 0.783)
Y (0.454, 0.671, 0.660)
Y (0.783, 0.989, 0.329)
Y (0.340, 0.011, 0.794)
Y (0.217, 0.546, 0.206)
Y (0.660, 0.454, 0.671)
Er (0.376, 0.500, 0.876)
Er (0.624, 0.500, 0.124)
Er (0.124, 0.624, 0.500)
Er (0.876, 0.376, 0.500)
Er (0.500, 0.876, 0.376)
Er (0.500, 0.124, 0.624)

## Properties
E_form in kJ per mole of atoms: 37
Calculated density in g cm⁻³: 5.60

***

(3)
Density functional theory data (PBE) for a geometry-optimized Hf3MnCl structure.

abc: 4.858 4.858 4.858
angles: 90.00 90.00 90.00
Sites, in units of the cell vectors:
Mn (0.000, 0.000, 0.000)
Hf (0.000, 0.500, 0.000)
Hf (0.000, 0.000, 0.500)
Hf (0.500, 0.000, 0.000)
Cl (0.500, 0.500, 0.500)

## Properties
Calculated density in g cm⁻³: 9.07
Formation energy (no corrections) in meV per atom: 438

***

(4)
Density functional theory data (PBE) for a geometry-optimized Ca6NdZn2 structure.

abc: 3.772 6.913 12.374
angles: 78.46 81.23 74.17
Sites, in units of the cell vectors:
Ca (0.688, 0.500, 0.123)
Ca (0.312, 0.500, 0.877)
Ca (0.330, 0.748, 0.592)
Ca (0.956, 0.776, 0.313)
Ca (0.044, 0.224, 0.687)
Ca (0.670, 0.252, 0.408)
Nd (0.000, 0.000, 0.000)
Zn (0.341, 0.123, 0.195)
Zn (0.659, 0.877, 0.805)

## Properties
E_form in kJ per mole of atoms: -7
Calculated density in g cm⁻³: 2.83

***

(5)
Density functional theory data (PBE) for a geometry-optimized Ce3Se3O structure.

abc: 4.127 12.222 13.315
angles: 90.00 90.00 90.00
Each line ends with the local moment (μB).
Sites, in units of the cell vectors:
Ce (0.750, 0.973, 0.842)  0.97
Ce (0.250, 0.527, 0.342)  0.97
Ce (0.250, 0.027, 0.158)  0.97
Ce (0.750, 0.473, 0.658)  0.97
Ce (0.750, 0.899, 0.382)  1.02
Ce (0.250, 0.601, 0.882)  1.02
Ce (0.250, 0.101, 0.618)  1.02
Ce (0.750, 0.399, 0.118)  1.02
Ce (0.750, 0.762, 0.127)  1.01
Ce (0.250, 0.738, 0.627)  1.01
Ce (0.250, 0.238, 0.873)  1.01
Ce (0.750, 0.262, 0.373)  1.01
Se (0.750, 0.734, 0.788)  -0.03
Se (0.250, 0.766, 0.288)  -0.03
Se (0.250, 0.266, 0.212)  -0.03
Se (0.750, 0.234, 0.712)  -0.03
Se (0.750, 0.143, 0.012)  -0.03
Se (0.250, 0.357, 0.512)  -0.03
Se (0.250, 0.857, 0.988)  -0.03
Se (0.750, 0.643, 0.488)  -0.03
Se (0.750, 0.927, 0.609)  -0.03
Se (0.250, 0.573, 0.109)  -0.03
Se (0.250, 0.073, 0.391)  -0.03
Se (0.750, 0.427, 0.891)  -0.03
O (0.750, 0.944, 0.199)  -0.03
O (0.250, 0.556, 0.699)  -0.03
O (0.250, 0.056, 0.801)  -0.03
O (0.750, 0.444, 0.301)  -0.03

## Properties
Calculated density in g cm⁻³: 6.66
Formation energy (no corrections) in meV per atom: -2193

***

(6)
Density functional theory data (PBE) for a geometry-optimized InPW structure.

abc: 4.275 4.275 4.275
angles: 60.00 60.00 60.00
Sites, in units of the cell vectors:
In (0.500, 0.500, 0.500)
P (0.750, 0.750, 0.750)
W (0.000, 0.000, 0.000)

## Properties
E_form in kJ per mole of atoms: 67
Calculated density in g cm⁻³: 9.91